A plane-wave DFT calculation with PBE-GGA was carried out for a relaxed structure of AcPm3Ho2.

```
12
Lattice="-2.346 -4.874 -3.315 0.123 -5.215 3.611 -8.969 7.371 3.560" Properties=species:S:1:pos:R:3 pbc="T T T"
Ho -5.898 2.659 1.254
Ho -10.396 -1.606 2.648
Ho -5.294 -5.377 2.602
Ho -0.795 -1.112 1.208
Pm -1.894 -6.161 1.350
Pm -9.297 3.444 2.506
Pm -3.661 -3.159 0.176
Pm -7.531 0.442 3.680
Pm -6.996 -2.390 1.399
Pm -4.196 -0.327 2.458
Ac -8.764 0.612 0.221
Ac -2.428 -3.329 3.636
```

Values from the calculation:
energy of formation: 3.94 kJ per mole of atoms
relative energy among the computed polymorphs: 0 meV/atom
space group: Fddd, No. 70
crystal system: orthorhombic
total moment: 0.000 μB/atom
energy: -4.5452 eV per atom